Below is crystalline Rh2WSe at its relaxed geometry, with properties calculated at the GGA-PBE level.

Cell lengths 8.8210, 8.8210, 8.8210 Å; angles 18.70, 18.70, 18.70 degrees
Positions (direct):
Rh1 0.9996 0.9996 0.9996
Rh2 0.5004 0.5004 0.5004
Se1 0.2500 0.2500 0.2500
W1 0.7500 0.7500 0.7500

Output
The space group is R-3m (166). For the volume, the calculation gives 61.6 Å³/cell. As for the energy relative to the elements, uncorrected: 47 meV per atom.

***

Below is crystalline RhWSe2 at its relaxed geometry, with properties calculated at the GGA-PBE level.

Cell lengths 6.9465, 6.9465, 6.9465 Å; angles 154.30, 142.77, 45.79 degrees
Positions (direct):
Rh1 0.2500 0.7500 0.5000
Se1 0.9045 0.9045 0.0000
Se2 0.5955 0.5955 0.0000
W1 0.7500 0.2500 0.5000

Output
The space group is Immm (71). The value obtained for the relative energy among the computed polymorphs is 387 meV/atom. For the volume, the calculation gives 87.7 Å³/cell. As for the energy relative to the elements, uncorrected: 169 meV per atom.

***

Below is crystalline Rh2WSe at its relaxed geometry, with properties calculated at the GGA-PBE level.

Cell lengths 4.0088, 3.9064, 3.9064 Å; angles 90.00, 90.00, 90.00 degrees
Each line ends with the local moment (μB).
Positions (direct):
Rh1 0.0000 0.0000 0.0000  0.03
Rh2 0.0000 0.5000 0.5000  0.03
Se1 0.5000 0.5000 0.0000  0.00
W1 0.5000 0.0000 0.5000  0.67

Output
The space group is P4/mmm (123). For the volume, the calculation gives 61.2 Å³/cell. As for the energy relative to the elements, uncorrected: 394 meV per atom.

***

Below is crystalline Rh2WSe at its relaxed geometry, with properties calculated at the GGA-PBE level.

Cell lengths 3.8015, 2.9307, 6.2964 Å; angles 61.55, 90.00, 90.00 degrees
Each line ends with the local moment (μB).
Positions (direct):
Rh1 0.0000 0.4971 0.5120  0.00
Rh2 0.0000 0.0029 0.9880  0.00
W1 0.5000 0.7500 0.7500  0.07
Se1 0.5000 0.2500 0.2500  0.00

Output
The space group is P2/m (10). For the volume, the calculation gives 61.7 Å³/cell. As for the energy relative to the elements, uncorrected: 54 meV per atom.